LaPtCl2: relaxed, PBE.

Unit cell a=4.546 b=4.546 c=18.821 alpha=90.00 beta=90.00 gamma=90.00
Space group I-42d (No. 122)
Symmetry-distinct sites (fractional):
La1 0.000 0.000 0.000 [4 per cell]
Pt1 0.000 0.000 0.500 [4 per cell]
Cl1 0.238 0.250 0.625 [8 per cell]

Computed properties:
- crystal system = tetragonal
- VASP energy (eV per cell) = -75.49
- energy relative to the elements, uncorrected (meV per atom) = -1052


La5PtCl5: relaxed, PBE.

Unit cell a=13.072 b=5.892 c=8.455 alpha=90.00 beta=109.15 gamma=90.00
Space group C2/m (No. 12)
Symmetry-distinct sites (fractional):
La1 0.000 0.000 0.000 [2 per cell]
La2 0.161 0.500 0.321 [4 per cell]
La3 0.175 0.500 0.844 [4 per cell]
Pt1 0.000 0.500 0.000 [2 per cell]
Cl1 0.000 0.500 0.500 [2 per cell]
Cl2 0.156 0.000 0.809 [4 per cell]
Cl3 0.157 0.000 0.350 [4 per cell]

Computed properties:
- crystal system = monoclinic
- VASP energy (eV per cell) = -116.35
- energy relative to the elements, uncorrected (meV per atom) = -1660


La4PtCl3: relaxed, PBE.

Unit cell a=8.467 b=12.081 c=4.186 alpha=90.00 beta=90.00 gamma=90.00
Space group Cmmm (No. 65)
Symmetry-distinct sites (fractional):
La1 0.000 0.249 0.000 [4 per cell]
La2 0.238 0.000 0.500 [4 per cell]
Pt1 0.000 0.000 0.000 [2 per cell]
Cl1 0.000 0.500 0.000 [2 per cell]
Cl2 0.250 0.250 0.500 [4 per cell]

Computed properties:
- crystal system = orthorhombic
- VASP energy (eV per cell) = -86.32
- energy relative to the elements, uncorrected (meV per atom) = -1484


LaPtCl2: relaxed, PBE.

Unit cell a=3.5595 b=3.5595 c=30.2930 alpha=90.00 beta=90.00 gamma=120.00
Space group R-3m (No. 166, hexagonal axes)
Symmetry-distinct sites (fractional):
La1 0.0000 0.0000 0.0000 [3 per cell]
Pt1 0.0000 0.0000 0.5000 [3 per cell]
Cl1 0.0000 0.0000 0.2687 [6 per cell]

Computed properties:
- crystal system = trigonal
- VASP energy (eV per cell) = -50.19
- energy relative to the elements, uncorrected (meV per atom) = -517


LaPt2Cl: relaxed, PBE.

Unit cell a=4.3683 b=4.3683 c=21.1691 alpha=90.00 beta=90.00 gamma=120.00
Space group R3m (No. 160, hexagonal axes)
Symmetry-distinct sites (fractional):
La1 0.0000 0.0000 0.0000 [3 per cell]
Pt1 0.0000 0.0000 0.2477 [3 per cell]
Pt2 0.0000 0.0000 0.5782 [3 per cell]
Cl1 0.0000 0.0000 0.7452 [3 per cell]

Computed properties:
- crystal system = trigonal
- VASP energy (eV per cell) = -69.67
- energy relative to the elements, uncorrected (meV per atom) = -1092


La2PtCl: relaxed, PBE.

Unit cell a=6.452 b=6.452 c=13.861 alpha=90.00 beta=90.00 gamma=90.00
Space group I-42d (No. 122)
Symmetry-distinct sites (fractional):
La1 0.236 0.250 0.125 [8 per cell]
Pt1 0.000 0.000 0.000 [4 per cell]
Cl1 0.000 0.000 0.500 [4 per cell]

Computed properties:
- crystal system = tetragonal
- VASP energy (eV per cell) = -88.03
- energy relative to the elements, uncorrected (meV per atom) = -1066